1:
3
Lattice="3.1770 0.0000 0.0000 -1.5885 2.7514 0.0000 0.0000 0.0000 8.4565" Properties=species:S:1:pos:R:3 comment="LiTeSe (PBE, relaxed)" magnetic_moment_mub_per_cell=0.00 pbc="T T T"
Li 0.0000 0.0000 0.1637
Se 1.5885 0.9171 2.0675
Te 0.0000 1.8343 6.2253

---

2:
3
Lattice="-0.5965 -3.6673 -2.7557 -2.6055 -3.5529 1.4096 -4.1164 -0.7720 -1.9642" Properties=species:S:1:pos:R:3 comment="LiTeSe (PBE, relaxed)" magnetic_moment_mub_per_cell=0.00 pbc="T T T"
Se 0.0000 0.0000 0.0000
Li -5.4889 -5.9942 -2.4828
Te -3.6592 -3.9961 -1.6552

---

Q: Which of them is the least stable? A: 1.

---

1:
3
Lattice="-3.2491 -1.9691 3.1043 1.4583 -1.5484 4.4212 -1.3463 2.4579 4.0271" Properties=species:S:1:pos:R:3 comment="LiTeSe (PBE, relaxed)" magnetic_moment_mub_per_cell=0.00 pbc="T T T"
Se -2.3528 -0.7947 8.6645
Te 0.0000 0.0000 0.0000
Li -1.5686 -0.5298 5.7763

---

2:
3
Lattice="-5.3159 -2.5773 -1.5702 -4.0828 -2.9165 3.4916 3.4698 5.0061 -0.5153" Properties=species:S:1:pos:R:3 comment="LiTeSe (PBE, relaxed)" magnetic_moment_mub_per_cell=0.00 pbc="T T T"
Te -3.4217 -2.0001 0.6995
Se -5.5877 -3.2662 1.1423
Li -0.3893 -0.2276 0.0796

---

Q: Which of them is the least stable? A: 1.

---

1:
3
Lattice="8.4528 0.0121 -0.0124 7.9050 2.9916 -0.0029 0.5478 0.0876 2.9783" Properties=species:S:1:pos:R:3 comment="LiTeSe (PBE, relaxed)" magnetic_moment_mub_per_cell=0.00 pbc="T T T"
Se 6.5637 1.1972 1.8392
Li 16.0661 2.9499 0.0399
Te 10.6337 1.9479 1.0685

---

2:
3
Lattice="-3.1855 2.6179 -1.0649 -0.2423 -2.3053 3.5724 1.9142 3.2298 2.2140" Properties=species:S:1:pos:R:3 comment="LiTeSe (PBE, relaxed)" magnetic_moment_mub_per_cell=0.00 pbc="T T T"
Te 0.1180 1.5991 3.5781
Se -1.7666 1.7157 0.9873
Li 0.1349 0.2277 0.1561

---

Q: Which of them is the least stable? A: 2.

---

1:
5
Lattice="-0.7395 5.1210 -0.9486 -5.1158 -0.8938 -0.8372 -3.6845 2.7376 3.0656" Properties=species:S:1:pos:R:3 comment="Li2TeSe2 (PBE, relaxed)" magnetic_moment_mub_per_cell=0.00 pbc="T T T"
Li -3.6758 4.9861 0.6120
Se -6.3656 4.6479 0.8832
Se -3.1742 2.3168 0.3965
Li -5.8639 1.9787 0.6677
Te 0.0000 0.0000 0.0000

---

2:
10
Lattice="7.7208 0.0000 0.0000 0.0000 7.7208 0.0000 0.0000 0.0000 3.7120" Properties=species:S:1:pos:R:3 comment="Li2TeSe2 (PBE, relaxed)" magnetic_moment_mub_per_cell=0.00 pbc="T T T"
Te 0.0000 0.0000 0.0000
Li 4.9492 6.6320 1.8560
Te 3.8604 3.8604 0.0000
Li 2.7716 1.0888 1.8560
Se 5.2347 1.3743 0.0000
Se 2.4861 6.3465 0.0000
Li 6.6320 2.7716 1.8560
Se 6.3465 5.2347 0.0000
Se 1.3743 2.4861 0.0000
Li 1.0888 4.9492 1.8560

---

Q: Which of them is the least stable? A: 1.

---

1:
24
Lattice="6.9520 -0.0502 -1.2642 -2.7354 6.3914 -1.2642 0.0682 0.1025 13.1025" Properties=species:S:1:pos:R:3 comment="Li2ThSe3 (PBE, relaxed)" magnetic_moment_mub_per_cell=0.00 pbc="T T T"
Li 2.4794 3.7288 0.7547
Th 3.9247 5.9022 8.6156
Li 4.1930 1.0533 3.2681
Li 1.0765 1.6190 5.8556
Se 2.4905 3.7506 7.2824
Th 0.3601 0.5415 1.9585
Se 3.8731 5.8195 2.0450
Li 0.7970 6.4512 11.1426
Se 0.0640 5.3539 0.7136
Se -0.6277 4.3137 9.8605
Se 3.1404 4.7229 -1.8832
Se 3.5320 0.0592 5.9060
Se 0.4164 0.6211 8.5290
Se 4.2501 1.1340 9.8428
Se 4.8830 2.0858 0.7312
Se 1.7895 2.6963 3.2916
Se 5.5964 3.1637 4.6681
Li 4.9354 2.1697 7.3059
Li -1.3560 3.2133 -0.5686
Li 1.8053 2.7149 9.8194
Th 0.0805 5.3737 7.2455
Th -0.6396 4.2908 3.3286
Li 3.2082 4.8247 4.7185
Se 1.0761 1.6183 -0.6453

---

2:
12
Lattice="-0.0621 -0.1895 -4.3182 6.2864 -4.0904 0.0891 -6.0444 -8.4643 2.6222" Properties=species:S:1:pos:R:3 comment="Li2ThSe3 (PBE, relaxed)" magnetic_moment_mub_per_cell=0.00 pbc="T T T"
Se 1.7505 -7.7704 -1.8478
Li -3.2499 -9.0256 0.4429
Li -0.5232 -11.4327 -1.6544
Th -1.6165 -3.1375 -2.0027
Li 3.4298 -3.7186 -2.0498
Se -0.9799 -10.1385 0.4591
Li 0.7031 -1.3115 0.0474
Th 1.7963 -9.6067 0.3958
Se -4.1615 -7.6422 -1.7684
Se 1.1598 -2.6057 -2.0660
Se 4.3413 -5.1020 0.1615
Se -1.5706 -4.9739 0.2409

---

Q: Which of them is the least stable? A: 2.

---

1:
14
Lattice="8.3463 0.0000 -1.4630 -4.8901 6.0022 -3.4442 1.4339 0.0000 8.3514" Properties=species:S:1:pos:R:3 comment="LiTh2Se4 (PBE, relaxed)" magnetic_moment_mub_per_cell=0.00 pbc="T T T"
Li 4.1732 3.0011 -0.7315
Se 2.7446 4.4501 3.8282
Th 2.8025 1.4988 3.8113
Se 0.3596 1.5494 2.1517
Se -1.3092 4.4528 4.5210
Th 6.9757 1.5023 3.0798
Se 4.5328 1.4517 1.4201
Se 5.2459 1.4490 5.4704
Se -2.0261 4.5505 0.3454
Th 0.3595 4.4999 2.0864
Li 0.0000 0.0000 0.0000
Se 2.0276 4.5531 -0.3475
Se 1.0727 1.5520 6.2019
Th -0.3575 4.5034 -2.0893

---

2:
7
Lattice="-2.5148 0.7561 -3.2071 5.4862 -1.5270 -4.6619 -3.4189 -6.0535 3.9323" Properties=species:S:1:pos:R:3 comment="LiTh2Se4 (PBE, relaxed)" magnetic_moment_mub_per_cell=0.00 pbc="T T T"
Th 0.5927 -3.3995 -3.9449
Se 3.3281 -2.6166 -3.2266
Se 0.5099 -5.3067 -1.6510
Se -0.9574 -1.5176 -2.2857
Th -1.0403 -3.4248 0.0082
Se -3.7757 -4.2077 -0.7100
Li 0.0000 0.0000 0.0000

---

Q: Which of them is the least stable? A: 2.

---

1:
10
Lattice="7.8900 0.0000 0.0000 0.0000 7.8900 0.0000 0.0000 0.0000 4.3580" Properties=species:S:1:pos:R:3 comment="LiTl2Se2 (PBE, relaxed)" magnetic_moment_mub_per_cell=0.00 pbc="T T T"
Tl 5.0661 6.7689 2.1790
Se 1.3773 2.5677 0.0000
Se 2.5677 6.5127 0.0000
Se 6.5127 5.3223 0.0000
Tl 6.7689 2.8239 2.1790
Tl 1.1211 5.0661 2.1790
Tl 2.8239 1.1211 2.1790
Li 0.0000 0.0000 0.0000
Se 5.3223 1.3773 0.0000
Li 3.9450 3.9450 0.0000

---

2:
5
Lattice="5.6404 0.0000 0.0000 0.0000 5.6404 0.0000 2.8202 2.8202 4.6204" Properties=species:S:1:pos:R:3 comment="LiTl2Se2 (PBE, relaxed)" magnetic_moment_mub_per_cell=0.00 pbc="T T T"
Tl 2.8202 2.8202 1.4797
Li 0.0000 0.0000 0.0000
Tl 5.6404 5.6404 3.1408
Se 2.8202 5.6404 2.3102
Se 5.6404 2.8202 2.3102

---

3:
10
Lattice="-1.4267 4.2818 3.9060 -4.5195 -2.5008 5.6511 4.0320 -1.1186 7.2595" Properties=species:S:1:pos:R:3 comment="LiTl2Se2 (PBE, relaxed)" magnetic_moment_mub_per_cell=0.00 pbc="T T T"
Se -3.2727 0.2678 7.6320
Li -1.4561 -0.5456 13.7477
Tl -0.3328 1.8004 7.0258
Tl -2.2452 -1.7846 5.6968
Tl -1.5814 -1.1379 9.7908
Se -2.1540 0.9433 11.8607
Se 1.3585 0.3947 9.1845
Tl 0.3310 2.4471 11.1198
Se 0.2398 -0.2808 4.9559
Li -0.4581 1.2080 3.0689

---

Q: Which of them is the least stable? A: 2.

---

1:
5
Lattice="-2.4851 1.8906 3.7340 -4.1769 -1.3962 -2.0729 0.2659 -4.2625 2.3352" Properties=species:S:1:pos:R:3 comment="Li3TlSe (PBE, relaxed)" magnetic_moment_mub_per_cell=0.00 pbc="T T T"
Li 0.1330 -2.1313 1.1676
Li -2.0884 -0.6981 -1.0365
Tl -3.1980 -1.8841 1.9981
Se 0.0000 0.0000 0.0000
Li -1.2426 0.9453 1.8670

---

2:
5
Lattice="-3.5920 1.4260 3.2398 2.0439 -2.9329 3.5570 2.8900 3.8466 1.5111" Properties=species:S:1:pos:R:3 comment="Li3TlSe (PBE, relaxed)" magnetic_moment_mub_per_cell=1.18 pbc="T T T"
Li 1.0219 -1.4665 1.7785
Tl 0.0000 0.0000 0.0000
Li -1.7960 0.7130 1.6199
Se 0.6710 1.1699 4.1540
Li 1.4450 1.9233 0.7555

---

Q: Which of them is the least stable? A: 2.